[1]
The following is a GGA-PBE calculation of PaNiSb after structural relaxation, from the Alexandria database.

## Properties
formation energy (no corrections): -51.69 kJ/mol of atoms
total moment: 0.4 μB per formula unit
calculated total energy: -42.0 eV/cell

Structure (extended XYZ):
```
6
Lattice="4.298 0.000 0.000 2.149 5.451 0.148 2.149 0.244 5.447" Properties=species:S:1:pos:R:3 pbc="T T T"
Pa 2.149 3.672 1.958
Pa 4.298 0.976 4.702
Ni 4.298 3.668 3.833
Ni 4.298 1.798 1.995
Sb 2.149 0.463 2.410
Sb 6.446 3.277 5.174
```


[2]
The following is a GGA-PBE calculation of Pa2NiSb after structural relaxation, from the Alexandria database.

## Properties
formation energy (no corrections): -23.80 kJ/mol of atoms
total moment: 0.0 μB per formula unit
offset from the most stable computed form: 121 meV per atom
calculated total energy: -29.9 eV/cell

Structure (extended XYZ):
```
4
Lattice="4.036 0.000 0.000 2.018 3.495 0.000 2.018 1.165 7.089" Properties=species:S:1:pos:R:3 pbc="T T T"
Sb 0.000 0.000 0.000
Pa 6.053 3.495 4.970
Pa 2.018 1.165 2.119
Ni 4.036 2.330 3.545
```


[3]
The following is a GGA-PBE calculation of PaNi2Sb after structural relaxation, from the Alexandria database.

## Properties
formation energy (no corrections): -16.97 kJ/mol of atoms
total moment: 0.0 μB per formula unit
offset from the most stable computed form: 280 meV per atom
calculated total energy: -25.9 eV/cell

Structure (extended XYZ):
```
4
Lattice="3.220 0.000 0.000 0.000 3.220 0.000 0.000 0.000 6.770" Properties=species:S:1:pos:R:3 pbc="T T T"
Sb 1.610 1.610 3.385
Pa 1.610 1.610 0.000
Ni 0.000 0.000 4.974
Ni 0.000 0.000 1.796
```


[4]
The following is a GGA-PBE calculation of Pa2Ni9Sb after structural relaxation, from the Alexandria database.

## Properties
formation energy (no corrections): -26.32 kJ/mol of atoms
total moment: 0.0 μB per formula unit
offset from the most stable computed form: 7 meV per atom
calculated total energy: -78.4 eV/cell

Structure (extended XYZ):
```
12
Lattice="4.910 0.000 0.000 2.455 4.252 0.000 2.455 1.417 8.167" Properties=species:S:1:pos:R:3 pbc="T T T"
Pa 7.364 4.252 3.247
Pa 2.455 1.417 4.919
Ni 7.364 4.252 8.162
Ni 2.455 1.417 0.005
Ni 4.910 2.835 4.083
Ni 3.672 2.120 2.075
Ni 6.147 2.120 2.075
Ni 4.910 4.264 2.075
Ni 6.147 3.549 6.092
Ni 4.910 1.405 6.092
Ni 3.672 3.549 6.092
Sb 0.000 0.000 0.000
```